[1]
Entry from Alexandria via LeMat-Bulk: crystalline PdPt4Rh2 at its relaxed geometry (GGA-PBE).

Lattice parameters (Å, degrees): 5.043 5.043 5.855 103.68 103.68 116.81
Positions (direct):
Pt 0.000 0.500 0.000
Pt 0.750 0.250 0.500
Pt 0.250 0.750 0.500
Rh 0.368 0.368 0.736
Rh 0.632 0.632 0.264
Pd 0.000 0.000 0.000
Pt 0.500 0.000 0.000

Results
crystal system	orthorhombic
distance to the lowest polymorph of the same formula	207	meV/atom
total energy	-5.938	eV/atom
magnetization	2.44	Bohr magnetons per cell
density of states at the Fermi level	12.34	states/eV/f.u.

---

[2]
Entry from Alexandria via LeMat-Bulk: crystalline PdPt2Rh at its relaxed geometry (GGA-PBE).

Lattice parameters (Å, degrees): 4.432 4.432 4.432 60.00 60.00 60.00
Positions (direct):
Pt 0.750 0.750 0.750
Pt 0.250 0.250 0.250
Pd 0.500 0.500 0.500
Rh 0.000 0.000 0.000

Results
crystal system	cubic
total energy	-6.039	eV/atom
magnetization	0.00	Bohr magnetons per cell
density of states at the Fermi level	3.22	states/eV/f.u.